# Nd5Sm6Dy2, optimized geometry, DFT PBE
# Formation energy from the elements = 1.18 eV/f.u.
# M_tot = 0.0 μB/f.u.
# ρ = 7.22 Mg/m³
data_Nd5Sm6Dy2
_chemical_formula_sum 'Nd10 Sm12 Dy4'
_cell_length_a 11.800
_cell_length_b 20.845
_cell_length_c 3.644
_cell_angle_alpha 90.00
_cell_angle_beta 90.00
_cell_angle_gamma 90.00
_symmetry_space_group_name_H-M 'P b a m'
_symmetry_Int_Tables_number 55
loop_
_symmetry_equiv_pos_as_xyz
'x,y,z'
'-x,-y,-z'
'-x,-y,z'
'x,y,-z'
'x+1/2,-y+1/2,-z'
'-x+1/2,y+1/2,z'
'-x+1/2,y+1/2,-z'
'x+1/2,-y+1/2,z'
loop_
_atom_site_label
_atom_site_type_symbol
_atom_site_fract_x
_atom_site_fract_y
_atom_site_fract_z
_atom_site_occupancy
Nd1 Nd 0.000 0.000 0.000 1
Nd2 Nd 0.085 0.274 0.000 1
Nd3 Nd 0.198 0.553 0.000 1
Sm1 Sm 0.062 0.420 0.500 1
Sm2 Sm 0.081 0.132 0.500 1
Sm3 Sm 0.175 0.862 0.000 1
Dy1 Dy 0.171 0.711 0.500 1



# PaNb2N, optimized geometry, DFT PBE
# Formation energy (no corrections) = -19 kJ/mol of atoms
# M_tot = 0.0 μB/f.u.
# ρ = 10.24 Mg/m³
data_PaNb2N
_chemical_formula_sum 'Pa3 Nb6 N3'
_cell_length_a 3.1581
_cell_length_b 3.1581
_cell_length_c 24.2612
_cell_angle_alpha 90.00
_cell_angle_beta 90.00
_cell_angle_gamma 120.00
_symmetry_space_group_name_H-M 'R -3 m'
_symmetry_Int_Tables_number 166
_symmetry_space_group_name_Hall '-R 3 2"'
loop_
_atom_site_label
_atom_site_type_symbol
_atom_site_fract_x
_atom_site_fract_y
_atom_site_fract_z
_atom_site_occupancy
Pa1 Pa 0.0000 0.0000 0.0000 1
Nb1 Nb 0.0000 0.0000 0.1180 1
N1 N 0.0000 0.0000 0.5000 1



# BiTe, optimized geometry, DFT PBE
# Formation energy (no corrections) = -10 kJ/mol of atoms
# Polymorph energy (0 for the lowest one) = 99 meV/atom
# M_tot = 0.0 μB/f.u.
# ρ = 8.32 Mg/m³
data_BiTe
_chemical_formula_sum 'Bi2 Te2'
_cell_length_a 4.746
_cell_length_b 4.558
_cell_length_c 6.399
_cell_angle_alpha 90.00
_cell_angle_beta 103.93
_cell_angle_gamma 90.00
_symmetry_space_group_name_H-M 'P 1 21/m 1'
_symmetry_Int_Tables_number 11
loop_
_symmetry_equiv_pos_as_xyz
'x,y,z'
'-x,-y,-z'
'-x,y+1/2,-z'
'x,-y+1/2,z'
loop_
_atom_site_label
_atom_site_type_symbol
_atom_site_fract_x
_atom_site_fract_y
_atom_site_fract_z
_atom_site_occupancy
Bi1 Bi 0.212 0.250 0.192 1
Te1 Te 0.307 0.250 0.725 1



# NiBiP3, optimized geometry, DFT PBE
# Formation energy from the elements = -0.23 eV/f.u.
# Polymorph energy (0 for the lowest one) = 37 meV/atom
# M_tot = 0.0 μB/f.u.
# ρ = 5.58 Mg/m³
data_NiBiP3
_chemical_formula_sum 'Ni1 Bi1 P3'
_cell_length_a 4.175
_cell_length_b 5.287
_cell_length_c 5.313
_cell_angle_alpha 108.14
_cell_angle_beta 94.59
_cell_angle_gamma 102.83
_symmetry_space_group_name_H-M 'P 1'
_symmetry_Int_Tables_number 1
loop_
_symmetry_equiv_pos_as_xyz
'x,y,z'
loop_
_atom_site_label
_atom_site_type_symbol
_atom_site_fract_x
_atom_site_fract_y
_atom_site_fract_z
_atom_site_occupancy
Ni1 Ni 0.000 0.000 0.000 1
Bi1 Bi 0.358 0.495 0.416 1
P1 P 0.477 0.979 0.872 1
P2 P 0.847 0.298 0.807 1
P3 P 0.890 0.665 0.169 1



# Ca2TmNi9, optimized geometry, DFT PBE
# Formation energy from the elements = -3.11 eV/f.u.
# M_tot = 2.3 μB/f.u.
# ρ = 7.47 Mg/m³
data_Ca2TmNi9
_chemical_formula_sum 'Ca6 Tm3 Ni27'
_cell_length_a 4.9518
_cell_length_b 4.9518
_cell_length_c 24.4268
_cell_angle_alpha 90.00
_cell_angle_beta 90.00
_cell_angle_gamma 120.00
_symmetry_space_group_name_H-M 'R -3 m'
_symmetry_Int_Tables_number 166
_symmetry_space_group_name_Hall '-R 3 2"'
loop_
_atom_site_label
_atom_site_type_symbol
_atom_site_fract_x
_atom_site_fract_y
_atom_site_fract_z
_atom_site_occupancy
Ca1 Ca 0.0000 0.0000 0.1409 1
Tm1 Tm 0.0000 0.0000 0.0000 1
Ni1 Ni 0.0000 0.0000 0.3326 1
Ni2 Ni 0.0000 0.0000 0.5000 1
Ni3 Ni 0.0016 0.5008 0.0801 1



# PaOsRh2, optimized geometry, DFT PBE
# Formation energy from the elements = -2.46 eV/f.u.
# M_tot = 0.0 μB/f.u.
# ρ = 15.51 Mg/m³
data_PaOsRh2
_chemical_formula_sum 'Pa1 Os1 Rh2'
_cell_length_a 4.048
_cell_length_b 4.048
_cell_length_c 4.097
_cell_angle_alpha 90.00
_cell_angle_beta 90.00
_cell_angle_gamma 90.00
_symmetry_space_group_name_H-M 'P 4/m m m'
_symmetry_Int_Tables_number 123
_symmetry_space_group_name_Hall '-P 4 2'
loop_
_atom_site_label
_atom_site_type_symbol
_atom_site_fract_x
_atom_site_fract_y
_atom_site_fract_z
_atom_site_occupancy
Pa1 Pa 0.000 0.000 0.000 1
Os1 Os 0.500 0.500 0.000 1
Rh1 Rh 0.000 0.500 0.500 1



# Ba2SiAgRh, optimized geometry, DFT PBE
# Formation energy (no corrections) = -27 kJ/mol of atoms
# M_tot = 0.0 μB/f.u.
# ρ = 5.01 Mg/m³
data_Ba2SiAgRh
_chemical_formula_sum 'Ba2 Si1 Ag1 Rh1'
_cell_length_a 6.101
_cell_length_b 6.101
_cell_length_c 4.575
_cell_angle_alpha 90.00
_cell_angle_beta 90.00
_cell_angle_gamma 90.00
_symmetry_space_group_name_H-M 'P 4/m m m'
_symmetry_Int_Tables_number 123
_symmetry_space_group_name_Hall '-P 4 2'
loop_
_atom_site_label
_atom_site_type_symbol
_atom_site_fract_x
_atom_site_fract_y
_atom_site_fract_z
_atom_site_occupancy
Ba1 Ba 0.000 0.500 0.000 1
Si1 Si 0.000 0.000 0.500 1
Ag1 Ag 0.500 0.500 0.500 1
Rh1 Rh 0.000 0.000 0.000 1



# AcSm5Zn6, optimized geometry, DFT PBE
# Formation energy from the elements = -3.50 eV/f.u.
# M_tot = 0.0 μB/f.u.
# ρ = 7.57 Mg/m³
data_AcSm5Zn6
_chemical_formula_sum 'Ac1 Sm5 Zn6'
_cell_length_a 5.201
_cell_length_b 7.380
_cell_length_c 8.253
_cell_angle_alpha 90.00
_cell_angle_beta 108.24
_cell_angle_gamma 90.00
_symmetry_space_group_name_H-M 'P 1 2/m 1'
_symmetry_Int_Tables_number 10
loop_
_symmetry_equiv_pos_as_xyz
'x,y,z'
'-x,-y,-z'
'-x,y,-z'
'x,-y,z'
loop_
_atom_site_label
_atom_site_type_symbol
_atom_site_fract_x
_atom_site_fract_y
_atom_site_fract_z
_atom_site_occupancy
Ac1 Ac 0.000 0.000 0.000 1
Sm1 Sm 0.000 0.500 0.000 1
Sm2 Sm 0.331 0.000 0.663 1
Sm3 Sm 0.334 0.500 0.670 1
Zn1 Zn 0.173 0.260 0.344 1
Zn2 Zn 0.500 0.264 0.000 1